Entry a
Entry from Alexandria: UCo3Si after structural relaxation (PBE).

```
UCo3Si
1.0
-2.303 2.303 7.663
2.303 -2.303 7.663
2.303 2.303 -7.663
U Co Si
2 6 2
direct
0.125 0.125 0.000 U
0.875 0.875 0.000 U
0.374 0.131 0.757 Co
0.374 0.616 0.243 Co
0.384 0.626 0.757 Co
0.525 0.025 0.500 Co
0.869 0.626 0.243 Co
0.975 0.475 0.500 Co
0.250 0.750 0.500 Si
0.500 0.500 0.000 Si
```

Fermi-level density of states: 1.46 states/eV/atom
volume: 16.26 Å³ per atom
symmetry: I-4m2 (119)

***

Entry b
Entry from Alexandria: UCo3Si after structural relaxation (PBE).

```
UCo3Si
1.0
2.673 -5.552 0.000
2.673 5.552 0.000
0.000 0.000 4.425
U Co Si
2 6 2
direct
0.078 0.922 0.750 U
0.922 0.078 0.250 U
0.101 0.434 0.750 Co
0.434 0.101 0.250 Co
0.500 0.500 0.000 Co
0.500 0.500 0.500 Co
0.566 0.899 0.750 Co
0.899 0.566 0.250 Co
0.319 0.681 0.250 Si
0.681 0.319 0.750 Si
```

Fermi-level density of states: 1.16 states/eV/atom
volume: 13.13 Å³ per atom
symmetry: Cmcm (63)

***

Of them, entry a has the lowest stability.

***

Entry a
Entry from Alexandria: UCo2Si3 after structural relaxation (PBE).

```
UCo2Si3
1.0
4.837 -3.554 0.000
4.837 3.554 0.000
0.000 0.000 4.938
U Co Si
2 4 6
direct
0.134 0.866 0.750 U
0.866 0.134 0.250 U
0.307 0.307 0.000 Co
0.307 0.307 0.500 Co
0.693 0.693 0.000 Co
0.693 0.693 0.500 Co
0.024 0.597 0.250 Si
0.403 0.976 0.250 Si
0.437 0.563 0.250 Si
0.563 0.437 0.750 Si
0.597 0.024 0.750 Si
0.976 0.403 0.750 Si
```

Fermi-level density of states: 1.20 states/eV/atom
volume: 14.15 Å³ per atom
symmetry: Cmcm (63)

***

Entry b
Entry from Alexandria: UCo2Si3 after structural relaxation (PBE).

```
UCo2Si3
1.0
7.541 -1.933 0.000
7.541 1.933 0.000
-2.513 0.000 8.760
U Co Si
3 6 9
direct
0.000 0.000 0.000 U
0.153 0.153 0.703 U
0.847 0.847 0.297 U
0.198 0.198 0.107 Co
0.358 0.358 0.554 Co
0.492 0.492 0.228 Co
0.508 0.508 0.772 Co
0.642 0.642 0.446 Co
0.802 0.802 0.893 Co
0.047 0.047 0.356 Si
0.219 0.219 0.378 Si
0.345 0.345 0.057 Si
0.362 0.362 0.806 Si
0.500 0.500 0.500 Si
0.638 0.638 0.194 Si
0.655 0.655 0.943 Si
0.781 0.781 0.622 Si
0.953 0.953 0.644 Si
```

Fermi-level density of states: 1.10 states/eV/atom
volume: 14.19 Å³ per atom
symmetry: C2/m (12)

***

Of them, entry a has the lowest stability.

***

Entry a
Entry from Alexandria: VCo3Si after structural relaxation (PBE).

```
VCo3Si
1.0
4.181 -2.441 0.000
4.181 2.441 0.000
-2.359 0.000 11.443
V Co Si
4 12 4
direct
0.055 0.818 0.898 V
0.182 0.945 0.602 V
0.818 0.055 0.398 V
0.945 0.182 0.102 V
0.045 0.342 0.902 Co
0.168 0.497 0.710 Co
0.341 0.537 0.409 Co
0.342 0.045 0.402 Co
0.463 0.659 0.091 Co
0.497 0.168 0.210 Co
0.503 0.832 0.790 Co
0.537 0.341 0.909 Co
0.658 0.955 0.598 Co
0.659 0.463 0.591 Co
0.832 0.503 0.290 Co
0.955 0.658 0.098 Co
0.000 0.500 0.500 Si
0.254 0.746 0.250 Si
0.500 0.000 0.000 Si
0.746 0.254 0.750 Si
```

Fermi-level density of states: 0.83 states/eV/atom
volume: 11.68 Å³ per atom
symmetry: C2/c (15)

***

Entry b
Entry from Alexandria: VCo3Si after structural relaxation (PBE).

```
VCo3Si
1.0
4.181 0.000 0.000
0.000 4.181 0.000
0.000 0.000 4.181
V Co Si
1 3 1
direct
0.000 0.000 0.000 V
0.000 0.000 0.500 Co
0.000 0.500 0.000 Co
0.500 0.000 0.000 Co
0.500 0.500 0.500 Si
```

Fermi-level density of states: 1.23 states/eV/atom
volume: 14.62 Å³ per atom
symmetry: Pm-3m (221)

***

Of them, entry b has the lowest stability.

***

Entry a
Entry from Alexandria: CoSi2W after structural relaxation (PBE).

```
CoSi2W
1.0
2.691 0.000 0.000
0.000 3.210 0.000
0.000 0.000 5.832
Co Si W
1 2 1
direct
0.000 0.000 0.000 Co
0.500 0.500 0.220 Si
0.500 0.500 0.780 Si
0.000 0.000 0.500 W
```

Fermi-level density of states: 0.63 states/eV/atom
volume: 12.60 Å³ per atom
symmetry: Pmmm (47)

***

Entry b
Entry from Alexandria: CoSi2W after structural relaxation (PBE).

```
CoSi2W
1.0
3.131 0.000 0.000
0.000 3.131 0.000
0.000 0.000 5.278
Co Si W
1 2 1
direct
0.000 0.000 0.000 Co
0.000 0.000 0.450 Si
0.500 0.500 0.184 Si
0.500 0.500 0.682 W
```

Fermi-level density of states: 0.91 states/eV/atom
volume: 12.93 Å³ per atom
symmetry: P4mm (99)

***

Of them, entry a has the lowest stability.

***

Entry a
Entry from Alexandria: CoSi2W after structural relaxation (PBE).

```
CoSi2W
1.0
7.931 0.000 0.000
0.000 2.683 0.000
-1.059 0.000 4.881
Co Si W
2 4 2
direct
0.000 0.000 0.000 Co
0.500 0.500 0.000 Co
0.239 0.500 0.221 Si
0.261 0.000 0.779 Si
0.739 0.000 0.221 Si
0.761 0.500 0.779 Si
0.000 0.500 0.500 W
0.500 0.000 0.500 W
```

Fermi-level density of states: 0.72 states/eV/atom
volume: 12.98 Å³ per atom
symmetry: C2/m (12)

***

Entry b
Entry from Alexandria: CoSi2W after structural relaxation (PBE).

```
CoSi2W
1.0
5.953 0.000 0.000
0.000 5.953 0.000
0.000 0.000 5.953
Co Si W
4 8 4
direct
0.000 0.000 0.000 Co
0.000 0.500 0.500 Co
0.500 0.000 0.500 Co
0.500 0.500 0.000 Co
0.000 0.000 0.500 Si
0.000 0.500 0.000 Si
0.250 0.250 0.750 Si
0.250 0.750 0.250 Si
0.500 0.000 0.000 Si
0.500 0.500 0.500 Si
0.750 0.250 0.250 Si
0.750 0.750 0.750 Si
0.250 0.250 0.250 W
0.250 0.750 0.750 W
0.750 0.250 0.750 W
0.750 0.750 0.250 W
```

Fermi-level density of states: 0.97 states/eV/atom
volume: 13.18 Å³ per atom
symmetry: F-43m (216)

***

Entry c
Entry from Alexandria: CoSi2W after structural relaxation (PBE).

```
CoSi2W
1.0
8.939 0.000 0.000
0.000 2.792 0.000
-1.372 0.000 4.140
Co Si W
2 4 2
direct
0.000 0.000 0.000 Co
0.500 0.500 0.000 Co
0.235 0.500 0.101 Si
0.489 0.000 0.456 Si
0.735 0.000 0.101 Si
0.989 0.500 0.456 Si
0.243 0.000 0.606 W
0.743 0.500 0.606 W
```

Fermi-level density of states: 0.48 states/eV/atom
volume: 12.91 Å³ per atom
symmetry: Cm (8)

***

Entry d
Entry from Alexandria: CoSi2W after structural relaxation (PBE).

```
CoSi2W
1.0
3.699 0.000 0.000
0.000 3.699 0.000
0.000 0.000 7.559
Co Si W
2 4 2
direct
0.000 0.000 0.000 Co
0.500 0.500 0.500 Co
0.000 0.500 0.250 Si
0.000 0.500 0.750 Si
0.500 0.000 0.250 Si
0.500 0.000 0.750 Si
0.000 0.000 0.500 W
0.500 0.500 0.000 W
```

Fermi-level density of states: 0.64 states/eV/atom
volume: 12.93 Å³ per atom
symmetry: I4/mmm (139)

***

Of them, entry b has the lowest stability.

***

Entry a
Entry from Alexandria: CoSi2W after structural relaxation (PBE).

```
CoSi2W
1.0
2.692 0.000 0.000
0.000 4.191 0.000
0.000 0.000 4.646
Co Si W
1 2 1
direct
0.000 0.000 0.000 Co
0.000 0.000 0.495 Si
0.000 0.500 0.780 Si
0.500 0.500 0.272 W
```

Fermi-level density of states: 0.75 states/eV/atom
volume: 13.10 Å³ per atom
symmetry: Pmm2 (25)

***

Entry b
Entry from Alexandria: CoSi2W after structural relaxation (PBE).

```
CoSi2W
1.0
5.879 0.000 0.000
0.000 5.879 0.000
0.000 0.000 5.879
Co Si W
4 8 4
direct
0.000 0.000 0.000 Co
0.000 0.500 0.500 Co
0.500 0.000 0.500 Co
0.500 0.500 0.000 Co
0.250 0.250 0.250 Si
0.250 0.250 0.750 Si
0.250 0.750 0.250 Si
0.250 0.750 0.750 Si
0.750 0.250 0.250 Si
0.750 0.250 0.750 Si
0.750 0.750 0.250 Si
0.750 0.750 0.750 Si
0.000 0.000 0.500 W
0.000 0.500 0.000 W
0.500 0.000 0.000 W
0.500 0.500 0.500 W
```

Fermi-level density of states: 0.48 states/eV/atom
volume: 12.70 Å³ per atom
symmetry: Fm-3m (225)

***

Entry c
Entry from Alexandria: CoSi2W after structural relaxation (PBE).

```
CoSi2W
1.0
2.659 0.000 0.000
0.000 2.659 0.000
0.000 0.000 7.603
Co Si W
1 2 1
direct
0.000 0.000 0.000 Co
0.000 0.000 0.491 Si
0.500 0.500 0.194 Si
0.500 0.500 0.754 W
```

Fermi-level density of states: 0.37 states/eV/atom
volume: 13.44 Å³ per atom
symmetry: P4mm (99)

***

Of them, entry c has the lowest stability.